No. 1
KHgS6 | PBE | relaxed

Unit cell a=5.830 b=5.852 c=12.230 alpha=95.63 beta=107.50 gamma=137.29
Sites, in units of the cell vectors:
K  0.500  0.500  0.500
Hg  0.000  0.000  0.000
S  0.325  0.796  0.198
S  0.389  0.932  0.604
S  0.434  0.310  0.847
S  0.611  0.068  0.396
S  0.675  0.204  0.802
S  0.566  0.690  0.153

Its total magnetic moment is 0.000 μB per cell. As for the space-group type: P-1, No. 2. Its crystal system is triclinic.



No. 2
K2Hg2S | PBE | relaxed

Unit cell a=6.572 b=6.572 c=6.515 alpha=59.71 beta=59.71 gamma=90.00
Sites, in units of the cell vectors:
S  0.000  0.000  0.000
K  0.750  0.250  0.500
K  0.250  0.750  0.500
Hg  0.318  0.318  0.363
Hg  0.682  0.682  0.637

Its total magnetic moment is 0.000 μB per cell. As for the space-group type: I4/mmm, No. 139. Its crystal system is tetragonal. For the energy above the most stable polymorph in this dataset, the calculation gives 0.1092 eV/atom.



No. 3
K4Hg2S | PBE | relaxed

Unit cell a=6.201 b=6.201 c=9.540 alpha=108.97 beta=108.97 gamma=90.00
Sites, in units of the cell vectors:
S  0.000  0.000  0.000
K  0.822  0.822  0.643
K  0.178  0.178  0.357
K  0.000  0.500  0.000
K  0.500  0.000  0.000
Hg  0.606  0.606  0.212
Hg  0.394  0.394  0.788

Its total magnetic moment is 0.000 μB per cell. As for the space-group type: I4/mmm, No. 139. Its crystal system is tetragonal.



No. 4
K2HgS2 | PBE | relaxed

Unit cell a=7.367 b=8.127 c=10.827 alpha=90.00 beta=90.00 gamma=90.00
Sites, in units of the cell vectors:
K  0.750  0.950  0.888
K  0.250  0.550  0.888
K  0.500  0.250  0.397
K  0.000  0.250  0.397
K  0.500  0.750  0.603
K  0.000  0.750  0.603
K  0.250  0.050  0.112
K  0.750  0.450  0.112
Hg  0.750  0.837  0.284
Hg  0.750  0.337  0.716
Hg  0.250  0.663  0.284
Hg  0.250  0.163  0.716
S  0.750  0.078  0.164
S  0.250  0.414  0.608
S  0.750  0.586  0.392
S  0.250  0.422  0.164
S  0.250  0.914  0.392
S  0.750  0.578  0.836
S  0.250  0.922  0.836
S  0.750  0.086  0.608

Its total magnetic moment is 0.000 μB per cell. As for the space-group type: Pbcm, No. 57. Its crystal system is orthorhombic.



No. 5
KHg3S3 | PBE | relaxed

Unit cell a=7.781 b=7.781 c=9.053 alpha=64.55 beta=64.55 gamma=60.00
Sites, in units of the cell vectors:
K  0.333  0.333  0.001
K  0.667  0.667  0.999
Hg  0.409  0.801  0.672
Hg  0.801  0.118  0.672
Hg  0.118  0.409  0.672
Hg  0.882  0.591  0.328
Hg  0.199  0.882  0.328
Hg  0.591  0.199  0.328
S  0.252  0.551  0.284
S  0.913  0.252  0.284
S  0.551  0.913  0.284
S  0.449  0.087  0.716
S  0.087  0.748  0.716
S  0.748  0.449  0.716

Its total magnetic moment is 0.000 μB per cell. As for the space-group type: R-3, No. 148. Its crystal system is trigonal.



No. 6
K2HgS2 | PBE | relaxed

Unit cell a=9.662 b=9.662 c=2.905 alpha=90.00 beta=90.00 gamma=90.00
Sites, in units of the cell vectors:
S  0.159  0.659  0.500
S  0.659  0.841  0.500
S  0.841  0.341  0.500
S  0.341  0.159  0.500
K  0.363  0.863  0.000
K  0.863  0.637  0.000
K  0.637  0.137  0.000
K  0.137  0.363  0.000
Hg  0.000  0.000  0.000
Hg  0.500  0.500  0.000

Its total magnetic moment is 0.000 μB per cell. As for the space-group type: P4/mbm, No. 127. Its crystal system is tetragonal.



No. 7
KHg2S2 | PBE | relaxed

Unit cell a=5.057 b=5.057 c=6.178 alpha=65.84 beta=65.84 gamma=90.00
Sites, in units of the cell vectors:
S  0.750  0.250  0.500
S  0.250  0.750  0.500
K  0.000  0.000  0.000
Hg  0.362  0.362  0.277
Hg  0.638  0.638  0.723

Its total magnetic moment is 0.000 μB per cell. As for the space-group type: I4/mmm, No. 139. Its crystal system is tetragonal. For the energy above the most stable polymorph in this dataset, the calculation gives 0.0589 eV/atom.



No. 8
K2Hg6S7 | PBE | relaxed

Unit cell a=14.102 b=14.102 c=4.161 alpha=90.00 beta=90.00 gamma=90.00
Sites, in units of the cell vectors:
K  0.672  0.828  0.741
K  0.328  0.172  0.741
K  0.172  0.672  0.259
K  0.828  0.328  0.259
Hg  0.098  0.402  0.764
Hg  0.902  0.598  0.764
Hg  0.598  0.098  0.236
Hg  0.402  0.902  0.236
Hg  0.566  0.339  0.748
Hg  0.434  0.661  0.748
Hg  0.661  0.566  0.252
Hg  0.934  0.839  0.252
Hg  0.339  0.434  0.252
Hg  0.066  0.161  0.252
Hg  0.839  0.066  0.748
Hg  0.161  0.934  0.748
S  0.696  0.462  0.747
S  0.304  0.538  0.747
S  0.538  0.696  0.253
S  0.804  0.962  0.253
S  0.462  0.304  0.253
S  0.196  0.038  0.253
S  0.962  0.196  0.747
S  0.038  0.804  0.747
S  0.185  0.315  0.158
S  0.815  0.685  0.158
S  0.685  0.185  0.842
S  0.315  0.815  0.842
S  0.500  0.000  0.575
S  0.000  0.500  0.425

Its total magnetic moment is 0.000 μB per cell. As for the space-group type: P-42_1m, No. 113. Its crystal system is tetragonal.



Formation energy from raw total energies, respectively: -0.19 -0.30 -0.46 -0.84 -0.28 -0.40 -0.28 -0.39 eV/atom.